# 1
Here is Mg5Tl6 after structural relaxation from Alexandria via LeMat-Bulk. Energies are from PBE.

Computed properties:
Space group: C2/m (12)
Formation energy (eV per atom): 0.01

Cell and atoms, written as extended XYZ:
```
11
Lattice="9.3601 0.0000 -0.7181 4.6801 5.7690 -0.3590 2.3453 0.0000 5.2314" Properties=species:S:1:pos:R:3 pbc="T T T"
Mg 4.6801 1.5599 -0.3590
Mg 5.8527 3.2616 2.2567
Mg 9.3601 4.2091 -0.7181
Mg 5.8527 0.0000 2.2567
Mg 10.5328 2.5074 1.8976
Tl 2.6627 0.0000 1.4848
Tl 9.0427 0.0000 3.0286
Tl 8.5073 4.0201 3.7515
Tl 12.5582 4.0201 0.0438
Tl 7.8781 1.7490 0.4028
Tl 3.8272 1.7490 4.1105
```

# 2
Here is Mg3Tl after structural relaxation from Alexandria via LeMat-Bulk. Energies are from PBE.

Computed properties:
Space group: C2/m (12)
Formation energy (eV per atom): -0.02

Cell and atoms, written as extended XYZ:
```
8
Lattice="-4.6977 -3.9508 0.2593 5.5787 -2.5069 -0.5925 -0.1108 2.9910 5.7003" Properties=species:S:1:pos:R:3 pbc="T T T"
Mg -1.1648 -0.2561 1.9222
Mg -0.8397 -2.0290 4.6000
Mg 1.6099 -1.4377 0.7671
Mg -1.2882 1.2595 4.7708
Mg 2.0584 -4.7262 0.5963
Mg 1.9350 -3.2106 3.4450
Tl 1.3903 0.0008 3.6923
Tl -0.6201 -3.4675 1.6748
```

# 3
Here is MgTl2 after structural relaxation from Alexandria via LeMat-Bulk. Energies are from PBE.

Computed properties:
Energy above the most stable polymorph in this dataset (eV/atom): 0.058
Space group: Immm (71)
Formation energy (eV per atom): 0.04

Cell and atoms, written as extended XYZ:
```
6
Lattice="3.4520 0.0000 0.0000 0.0000 8.5759 0.0000 0.0000 0.0000 5.6701" Properties=species:S:1:pos:R:3 pbc="T T T"
Mg 0.0000 0.0000 0.0000
Mg 1.7260 4.2880 2.8350
Tl 1.7260 5.8981 5.6667
Tl 1.7260 2.6778 0.0034
Tl 0.0000 1.6102 2.8384
Tl 0.0000 6.9658 2.8317
```

What did the second record say?
Here is Mg3Tl after structural relaxation from Alexandria via LeMat-Bulk. Energies are from PBE.

Computed properties:
Space group: C2/m (12)
Formation energy (eV per atom): -0.02

Cell and atoms, written as extended XYZ:
```
8
Lattice="-4.6977 -3.9508 0.2593 5.5787 -2.5069 -0.5925 -0.1108 2.9910 5.7003" Properties=species:S:1:pos:R:3 pbc="T T T"
Mg -1.1648 -0.2561 1.9222
Mg -0.8397 -2.0290 4.6000
Mg 1.6099 -1.4377 0.7671
Mg -1.2882 1.2595 4.7708
Mg 2.0584 -4.7262 0.5963
Mg 1.9350 -3.2106 3.4450
Tl 1.3903 0.0008 3.6923
Tl -0.6201 -3.4675 1.6748
```